Crystalline SrAl2Au at its relaxed geometry, computed with GGA-PBEsol.

Summary:
The calculation puts the formation energy at -220 meV/atom.

a = 5.0202 Å, b = 5.0202 Å, c = 9.3603 Å
α = 105.55°, β = 105.55°, γ = 90.00°
Last column: nearest neighbours and their distance in Å.
Fractional coordinates of all 8 atoms:
Al 0.1250 0.3750 0.2500  2 Au 2.50, 2 Al 2.51
Al 0.1250 0.8750 0.7500  2 Au 2.50, 2 Al 2.51
Al 0.1250 0.8750 0.2500  2 Au 2.50, 2 Al 2.51
Al 0.6250 0.8750 0.7500  2 Au 2.50, 2 Al 2.51
Au 0.0000 0.0000 0.0000  4 Al 2.50
Au 0.2500 0.7500 0.5000  4 Al 2.50
Sr 0.7500 0.2500 0.5000  8 Al 3.54, 4 Au 3.55
Sr 0.5000 0.5000 0.0000  8 Al 3.54, 4 Au 3.55

---

Crystalline SrAl2Au at its relaxed geometry, computed with GGA-PBEsol.

Summary:
The calculation puts the formation energy at -470 meV/atom.

a = 4.3883 Å, b = 4.3883 Å, c = 6.2506 Å
α = 69.45°, β = 69.45°, γ = 60.00°
Last column: nearest neighbours and their distance in Å.
Fractional coordinates of all 4 atoms:
Sr 0.2428 0.2428 0.2716  4 Au 3.23-3.55, 7 Al 3.38-3.46
Al 0.0411 0.0411 0.8768  3 Au 2.71, 3 Al 2.81
Al 0.7787 0.7787 0.6639  3 Au 2.55, 3 Al 2.81
Au 0.4309 0.4309 0.7072  6 Al 2.55-2.71

---

Crystalline SrAl2Au2 at its relaxed geometry, computed with GGA-PBEsol.

Summary:
The calculation puts the formation energy at -658 meV/atom.

a = 4.4373 Å, b = 4.4373 Å, c = 10.5401 Å
α = 90.00°, β = 90.00°, γ = 90.00°
Last column: nearest neighbours and their distance in Å.
Fractional coordinates of all 10 atoms:
Au 0.5000 0.0000 0.3700  5 Al 2.57-2.61
Au 0.0000 0.5000 0.6300  5 Al 2.57-2.61
Au 0.5000 0.5000 0.0000  4 Al 2.59
Au 0.0000 0.0000 0.0000  4 Al 2.59
Al 0.0000 0.5000 0.8736  5 Au 2.57-2.59
Al 0.0000 0.0000 0.5000  4 Au 2.61
Al 0.5000 0.5000 0.5000  4 Au 2.61
Al 0.5000 0.0000 0.1264  5 Au 2.57-2.59
Sr 0.0000 0.5000 0.2491  8 Au 3.39-3.44, 8 Al 3.39-3.45
Sr 0.5000 0.0000 0.7509  8 Au 3.39-3.44, 8 Al 3.39-3.45

---

Crystalline SrAlAu at its relaxed geometry, computed with GGA-PBEsol.

Summary:
The calculation puts the formation energy at -275 meV/atom.

a = 4.8462 Å, b = 4.8462 Å, c = 4.8462 Å
α = 60.00°, β = 60.00°, γ = 60.00°
Last column: nearest neighbours and their distance in Å.
Fractional coordinates of all 3 atoms:
Au 0.2500 0.2500 0.2500  4 Sr 2.97, 4 Al 2.97
Al 0.5000 0.5000 0.5000  4 Au 2.97
Sr 0.0000 0.0000 0.0000  4 Au 2.97